Material: POs5
Method: DFT, PBE
State: optimized geometry

Mass density ... 19110 kg/m3
ΔE to the lowest computed polymorph ... 167 meV/atom
E_form ... 380 meV per atom

Lattice parameters (Å, degrees): 3.8406 11.7928 3.7685 90.00 90.00 90.00
Space group Cmmm (No. 65)
Inequivalent atoms, fractional coordinates:
P  0.0000  0.0000  0.0000 (multiplicity 2)
Os  0.0000  0.1679  0.5000 (multiplicity 4)
Os  0.0000  0.3228  0.0000 (multiplicity 4)
Os  0.0000  0.5000  0.5000 (multiplicity 2)

Material: NaSr2MgGa
Method: DFT, PBE
State: optimized geometry

Mass density ... 2393 kg/m3
E_form ... -46 meV per atom

Lattice parameters (Å, degrees): 6.2753 6.2753 5.1502 90.00 90.00 90.00
Space group P4/mmm (No. 123)
Inequivalent atoms, fractional coordinates:
Na  0.0000  0.0000  0.0000 (multiplicity 1)
Sr  0.0000  0.5000  0.5000 (multiplicity 2)
Mg  0.5000  0.5000  0.0000 (multiplicity 1)
Ga  0.5000  0.5000  0.5000 (multiplicity 1)

Material: Er2TmSb
Method: DFT, PBE
State: optimized geometry

Mass density ... 8955 kg/m3
Uncorrected formation energy ... -532.4 meV per atom
ΔE to the lowest computed polymorph ... 0 meV/atom

Lattice parameters (Å, degrees): 4.0674 12.1243 9.4036 90.00 90.00 90.00
Space group Cmcm (No. 63)
Inequivalent atoms, fractional coordinates:
Er  0.0000  0.1354  0.0470 (multiplicity 8)
Tm  0.0000  0.4416  0.2500 (multiplicity 4)
Sb  0.0000  0.2578  0.7500 (multiplicity 4)

Material: AgIrSe
Method: DFT, PBE
State: optimized geometry

Mass density ... 11769 kg/m3
Uncorrected formation energy ... 439.7 meV per atom
ΔE to the lowest computed polymorph ... 329 meV/atom

Lattice parameters (Å, degrees): 2.8835 5.0870 14.5843 90.00 90.00 90.00
Space group Fmm2 (No. 42)
Inequivalent atoms, fractional coordinates:
Ag  0.0000  0.0000  0.0000 (multiplicity 4)
Ir  0.0000  0.0000  0.3346 (multiplicity 4)
Se  0.0000  0.0000  0.6943 (multiplicity 4)

Material: Ba2CaAg
Method: DFT, PBE
State: optimized geometry

Mass density ... 3965 kg/m3
ΔE to the lowest computed polymorph ... 0 meV/atom
E_form ... -133 meV per atom

Lattice parameters (Å, degrees): 4.3811 11.0513 7.6315 90.00 106.67 90.00
Space group P2_1/m (No. 11)
Inequivalent atoms, fractional coordinates:
Ba  0.1372  0.0660  0.2729 (multiplicity 4)
Ca  0.4172  0.2500  0.8358 (multiplicity 2)
Ag  0.2364  0.7500  0.4724 (multiplicity 2)

Material: UCoNiGe
Method: DFT, PBE
State: optimized geometry

Mass density ... 11595 kg/m3
E_form ... -184 meV per atom

Lattice parameters (Å, degrees): 6.2603 6.2603 6.2603 90.00 90.00 90.00
Space group F-43m (No. 216)
Inequivalent atoms, fractional coordinates:
U  0.0000  0.0000  0.0000 (multiplicity 4)
Co  0.2500  0.2500  0.2500 (multiplicity 4)
Ni  0.2500  0.2500  0.7500 (multiplicity 4)
Ge  0.0000  0.0000  0.5000 (multiplicity 4)

Material: La3ZrCl
Method: DFT, PBE
State: optimized geometry

Mass density ... 4548 kg/m3
Uncorrected formation energy ... 196.0 meV per atom
ΔE to the lowest computed polymorph ... 512 meV/atom

Lattice parameters (Å, degrees): 5.8324 5.8324 5.8324 90.00 90.00 90.00
Space group Pm-3m (No. 221)
Inequivalent atoms, fractional coordinates:
La  0.0000  0.0000  0.5000 (multiplicity 3)
Zr  0.0000  0.0000  0.0000 (multiplicity 1)
Cl  0.5000  0.5000  0.5000 (multiplicity 1)

Material: ThZn7Co5
Method: DFT, PBE
State: optimized geometry

Mass density ... 8821 kg/m3
E_form ... -131 meV per atom

Lattice parameters (Å, degrees): 9.9550 8.6630 4.9349 90.00 119.42 90.00
Space group Cm (No. 8)
Inequivalent atoms, fractional coordinates:
Th  0.0000  0.0000  0.0000 (multiplicity 2)
Zn  0.0233  0.2216  0.5233 (multiplicity 4)
Zn  0.0327  0.3509  0.0330 (multiplicity 4)
Zn  0.1618  0.5000  0.6617 (multiplicity 2)
Zn  0.2516  0.0000  0.7509 (multiplicity 2)
Zn  0.3560  0.0000  0.3544 (multiplicity 2)
Co  0.2767  0.2554  0.0225 (multiplicity 4)
Co  0.2766  0.2554  0.5304 (multiplicity 4)
Co  0.2967  0.5000  0.2960 (multiplicity 2)

Material: La8Tl2Sn
Method: DFT, PBE
State: optimized geometry

Mass density ... 7372 kg/m3
ΔE to the lowest computed polymorph ... 4 meV/atom
E_form ... -279 meV per atom

Lattice parameters (Å, degrees): 5.4642 8.5892 15.7293 90.00 90.00 90.00
Space group Immm (No. 71)
Inequivalent atoms, fractional coordinates:
La  0.0000  0.0000  0.1307 (multiplicity 4)
La  0.0000  0.2232  0.3458 (multiplicity 8)
La  0.0000  0.2947  0.0000 (multiplicity 4)
Tl  0.0000  0.5000  0.1930 (multiplicity 4)
Sn  0.0000  0.5000  0.5000 (multiplicity 2)

Material: PrYZnSi
Method: DFT, PBE
State: optimized geometry

Mass density ... 5499 kg/m3
Uncorrected formation energy ... -544.5 meV per atom
ΔE to the lowest computed polymorph ... 0 meV/atom

Lattice parameters (Å, degrees): 4.0918 4.2514 11.2248 90.00 90.00 90.00
Space group Amm2 (No. 38)
Inequivalent atoms, fractional coordinates:
Pr  0.0000  0.0000  0.0000 (multiplicity 2)
Y  0.5000  0.0000  0.2849 (multiplicity 2)
Zn  0.5000  0.0000  0.5821 (multiplicity 2)
Si  0.0000  0.0000  0.7196 (multiplicity 2)

Material: PmCdAg
Method: DFT, PBE
State: optimized geometry

Mass density ... 8240 kg/m3
ΔE to the lowest computed polymorph ... 62 meV/atom
E_form ... -250 meV per atom

Lattice parameters (Å, degrees): 4.5918 12.7196 5.0412 90.00 90.00 90.00
Space group Cmcm (No. 63)
Inequivalent atoms, fractional coordinates:
Pm  0.0000  0.0998  0.2500 (multiplicity 4)
Cd  0.0000  0.4038  0.2500 (multiplicity 4)
Ag  0.0000  0.2385  0.7500 (multiplicity 4)

Material: BaLi2CaCu
Method: DFT, PBE
State: optimized geometry

Mass density ... 2714 kg/m3
E_form ... 120 meV per atom

Lattice parameters (Å, degrees): 5.3395 5.3395 5.4680 90.00 90.00 90.00
Space group P4/mmm (No. 123)
Inequivalent atoms, fractional coordinates:
Ba  0.0000  0.0000  0.0000 (multiplicity 1)
Li  0.0000  0.5000  0.5000 (multiplicity 2)
Ca  0.5000  0.5000  0.0000 (multiplicity 1)
Cu  0.5000  0.5000  0.5000 (multiplicity 1)

Material: As2IrAu
Method: DFT, PBE
State: optimized geometry

Mass density ... 11941 kg/m3
ΔE to the lowest computed polymorph ... 149 meV/atom
E_form ... 98 meV per atom

Lattice parameters (Å, degrees): 3.5491 3.5491 20.6146 90.00 90.00 120.00
Space group R-3m (No. 166, hexagonal axes)
Inequivalent atoms, fractional coordinates:
As  0.0000  0.0000  0.2388 (multiplicity 6)
Ir  0.0000  0.0000  0.5000 (multiplicity 3)
Au  0.0000  0.0000  0.0000 (multiplicity 3)

Number 1: volume 170.7 Å³ per cell. Number 2: volume 202.8 Å³ per cell. Number 3: volume 463.7 Å³ per cell. Number 4: volume 213.9 Å³ per cell. Number 5: volume 354.0 Å³ per cell. Number 6: volume 245.3 Å³ per cell. Number 7: volume 198.4 Å³ per cell. Number 8: volume 370.7 Å³ per cell. Number 9: volume 738.2 Å³ per cell. Number 10: volume 195.3 Å³ per cell. Number 11: volume 294.4 Å³ per cell. Number 12: volume 155.9 Å³ per cell. Number 13: volume 224.9 Å³ per cell.